Here is a relaxed Rb2NbTcCl crystal from Alexandria via LeMat-Bulk. Energies are from PBE.

It has space group P4/mmm (No. 123), with a = 6.4129 Å, b = 6.4129 Å, c = 4.9035 Å, α = 90.00°, β = 90.00° and γ = 90.00°. The inequivalent atoms are Rb at (0.0000, 0.5000, 0.0000), Nb at (0.0000, 0.0000, 0.5000), Tc at (0.5000, 0.5000, 0.5000) and Cl at (0.0000, 0.0000, 0.0000).

The mass density is 3.27 g/cm3. For the formation energy (no corrections), the calculation gives 1224 meV/atom. The value obtained for the total energy is -3.619 eV per atom. For the distance to the lowest polymorph of the same formula, the calculation gives 511 meV per atom. As for the total magnetization: 8.0 μB per formula unit.

---

Here is a relaxed ZrSiAg crystal from Alexandria via LeMat-Bulk. Energies are from PBE.

It has space group Imm2 (No. 44), with a = 2.8679 Å, b = 3.7340 Å, c = 10.1917 Å, α = 90.00°, β = 90.00° and γ = 90.00°. The inequivalent atoms are Zr at (0.0000, 0.0000, 0.0000), Si at (0.0000, 0.0000, 0.6582) and Ag at (0.0000, 0.0000, 0.3072).

The mass density is 6.91 g/cm3. For the formation energy (no corrections), the calculation gives -95 meV/atom. The value obtained for the total energy is -5.703 eV per atom. As for the total magnetization: 0.0 μB per formula unit.

---

Here is a relaxed La6AgP2Br3 crystal from Alexandria via LeMat-Bulk. Energies are from PBE.

It has space group C2/m (No. 12), with a = 19.2354 Å, b = 4.2654 Å, c = 8.9264 Å, α = 90.00°, β = 104.74° and γ = 90.00°. The inequivalent atoms are La at (0.0131, 0.0000, 0.2464), La at (0.1686, 0.5000, 0.1115), La at (0.1745, 0.5000, 0.5598), Ag at (0.0000, 0.5000, 0.0000), P at (0.1697, 0.0000, 0.3343), Br at (0.0000, 0.5000, 0.5000) and Br at (0.1622, 0.0000, 0.8279).

The mass density is 5.83 g/cm3. For the formation energy (no corrections), the calculation gives -1281 meV/atom. The value obtained for the total energy is -5.302 eV per atom. As for the total magnetization: 0.0 μB per formula unit.

---

Which formula does entry 1 have? Rb2NbTcCl

---

Which value of formation energy (no corrections) does entry 1 give? 1224 meV/atom

---

Among the records above, which one has the lowest formation energy (no corrections)? La6AgP2Br3

---

What is the formula in the second record? ZrSiAg